Record 1
First-principles (PBE) data for a relaxed Pm3TlB crystal, as listed in the Alexandria database.

Summary:
Space group: Pm-3m
Formation enthalpy at 0 K: -0.1564 eV/atom
Electronic total energy: -4.82 eV per atom
D(E_F): 1.5067 states/eV/atom

a b c (Å): 5.186 5.186 5.186
angles (deg): 90.00 90.00 90.00
Element x y z (fractional)
Pm1 0.000 0.500 0.000
B1 0.000 0.000 0.000
Pm2 0.500 0.000 0.000
Tl1 0.500 0.500 0.500
Pm3 0.000 0.000 0.500

Record 2
First-principles (PBE) data for a relaxed PmTm2B6 crystal, as listed in the Alexandria database.

Summary:
Space group: P6/mmm
Formation enthalpy at 0 K: -0.5356 eV/atom
Electronic total energy: -6.51 eV per atom
D(E_F): 0.3618 states/eV/atom

a b c (Å): 3.883 5.699 5.699
angles (deg): 120.00 90.00 90.00
Element x y z (fractional)
B1 0.500 0.339 0.000
Tm1 0.000 0.667 0.333
B2 0.500 0.661 0.000
B3 0.500 0.000 0.661
B4 0.500 0.339 0.339
B5 0.500 0.000 0.339
B6 0.500 0.661 0.661
Pm1 0.000 0.000 0.000
Tm2 0.000 0.333 0.667

Record 3
First-principles (PBE) data for a relaxed PmTmB4 crystal, as listed in the Alexandria database.

Summary:
Space group: Pbam
Formation enthalpy at 0 K: -0.3499 eV/atom
Electronic total energy: -6.34 eV per atom
D(E_F): 0.3215 states/eV/atom

a b c (Å): 3.972 6.268 12.235
angles (deg): 90.00 90.00 90.00
Element x y z (fractional)
Tm1 0.000 0.643 0.090
B1 0.500 0.532 0.806
B2 0.500 0.116 0.548
B3 0.500 0.373 0.474
B4 0.500 0.797 0.192
Pm1 0.000 0.867 0.848
B5 0.500 0.468 0.194
B6 0.500 0.127 0.974
B7 0.500 0.297 0.308
B8 0.500 0.873 0.026
B9 0.500 0.884 0.452
B10 0.500 0.627 0.526
B11 0.500 0.616 0.952
Tm2 0.000 0.143 0.410
Pm2 0.000 0.633 0.348
Tm3 0.000 0.857 0.590
B12 0.500 0.703 0.692
Pm3 0.000 0.133 0.152
Tm4 0.000 0.357 0.910
B13 0.500 0.203 0.808
B14 0.500 0.032 0.694
Pm4 0.000 0.367 0.652
B15 0.500 0.384 0.048
B16 0.500 0.968 0.306

Record 4
First-principles (PBE) data for a relaxed PmTmB12 crystal, as listed in the Alexandria database.

Summary:
Space group: P4/mmm
Formation enthalpy at 0 K: -0.4067 eV/atom
Electronic total energy: -6.79 eV per atom
D(E_F): 0.1033 states/eV/atom

a b c (Å): 4.103 4.103 8.209
angles (deg): 90.00 90.00 90.00
Element x y z (fractional)
B1 0.199 0.500 0.248
B2 0.801 0.500 0.752
B3 0.500 0.801 0.248
B4 0.500 0.199 0.248
B5 0.199 0.500 0.752
B6 0.500 0.500 0.901
B7 0.500 0.500 0.400
Tm1 0.000 0.000 0.000
B8 0.500 0.801 0.752
B9 0.500 0.500 0.099
Pm1 0.000 0.000 0.500
B10 0.801 0.500 0.248
B11 0.500 0.199 0.752
B12 0.500 0.500 0.600